(1)
# Re2MoRu (SCAN, PBEsol geometry)
data_Re2MoRu
_chemical_formula_sum 'Re6 Mo3 Ru3'
_symmetry_space_group_name_H-M 'R -3 m'
_symmetry_Int_Tables_number 166
_symmetry_space_group_name_Hall '-R 3 2"'
_cell_length_a 2.7257
_cell_length_b 2.7257
_cell_length_c 27.1298
_cell_angle_alpha 90.00
_cell_angle_beta 90.00
_cell_angle_gamma 120.00
loop_
_atom_site_label
_atom_site_fract_x
_atom_site_fract_y
_atom_site_fract_z
Re1 0.0000 0.0000 0.2474
Mo1 0.0000 0.0000 0.0000
Ru1 0.0000 0.0000 0.5000
# DOS(E_F): 11.4 states/eV/cell
# E: -52.815 eV per atom

---

(2)
# ReMoRu2 (SCAN, PBEsol geometry)
data_ReMoRu2
_chemical_formula_sum 'Re1 Mo1 Ru2'
_symmetry_space_group_name_H-M 'P m m m'
_symmetry_Int_Tables_number 47
_cell_length_a 2.714
_cell_length_b 3.824
_cell_length_c 5.443
_cell_angle_alpha 90.00
_cell_angle_beta 90.00
_cell_angle_gamma 90.00
loop_
_symmetry_equiv_pos_as_xyz
'x,y,z'
'-x,-y,-z'
'-x,-y,z'
'x,y,-z'
'x,-y,-z'
'-x,y,z'
'-x,y,-z'
'x,-y,z'
loop_
_atom_site_label
_atom_site_fract_x
_atom_site_fract_y
_atom_site_fract_z
Re1 0.000 0.000 0.000
Mo1 0.000 0.000 0.500
Ru1 0.500 0.500 0.246
# DOS(E_F): 3.4 states/eV/cell
# E: -43.880 eV per atom

---

(3)
# Re2MoRu (SCAN, PBEsol geometry)
data_Re2MoRu
_chemical_formula_sum 'Re2 Mo1 Ru1'
_symmetry_space_group_name_H-M 'P m m 2'
_symmetry_Int_Tables_number 25
_cell_length_a 2.734
_cell_length_b 3.852
_cell_length_c 5.503
_cell_angle_alpha 90.00
_cell_angle_beta 90.00
_cell_angle_gamma 90.00
loop_
_symmetry_equiv_pos_as_xyz
'x,y,z'
'-x,-y,z'
'-x,y,z'
'x,-y,z'
loop_
_atom_site_label
_atom_site_fract_x
_atom_site_fract_y
_atom_site_fract_z
Re1 0.000 0.000 0.000
Re2 0.500 0.500 0.243
Mo1 0.500 0.500 0.739
Ru1 0.000 0.000 0.492
# DOS(E_F): 3.4 states/eV/cell
# E: -52.892 eV per atom

---

(4)
# ReMoRu2 (SCAN, PBEsol geometry)
data_ReMoRu2
_chemical_formula_sum 'Re2 Mo2 Ru4'
_symmetry_space_group_name_H-M 'I 4/m m m'
_symmetry_Int_Tables_number 139
_symmetry_space_group_name_Hall '-I 4 2'
_cell_length_a 3.846
_cell_length_b 3.846
_cell_length_c 7.636
_cell_angle_alpha 90.00
_cell_angle_beta 90.00
_cell_angle_gamma 90.00
loop_
_atom_site_label
_atom_site_fract_x
_atom_site_fract_y
_atom_site_fract_z
Re1 0.000 0.000 0.000
Mo1 0.000 0.000 0.500
Ru1 0.000 0.500 0.250
# DOS(E_F): 7.2 states/eV/cell
# E: -43.881 eV per atom

---

What did the second record say?
# ReMoRu2 (SCAN, PBEsol geometry)
data_ReMoRu2
_chemical_formula_sum 'Re1 Mo1 Ru2'
_symmetry_space_group_name_H-M 'P m m m'
_symmetry_Int_Tables_number 47
_cell_length_a 2.714
_cell_length_b 3.824
_cell_length_c 5.443
_cell_angle_alpha 90.00
_cell_angle_beta 90.00
_cell_angle_gamma 90.00
loop_
_symmetry_equiv_pos_as_xyz
'x,y,z'
'-x,-y,-z'
'-x,-y,z'
'x,y,-z'
'x,-y,-z'
'-x,y,z'
'-x,y,-z'
'x,-y,z'
loop_
_atom_site_label
_atom_site_fract_x
_atom_site_fract_y
_atom_site_fract_z
Re1 0.000 0.000 0.000
Mo1 0.000 0.000 0.500
Ru1 0.500 0.500 0.246
# DOS(E_F): 3.4 states/eV/cell
# E: -43.880 eV per atom

---

Please write out number 2 again, unchanged.
# ReMoRu2 (SCAN, PBEsol geometry)
data_ReMoRu2
_chemical_formula_sum 'Re1 Mo1 Ru2'
_symmetry_space_group_name_H-M 'P m m m'
_symmetry_Int_Tables_number 47
_cell_length_a 2.714
_cell_length_b 3.824
_cell_length_c 5.443
_cell_angle_alpha 90.00
_cell_angle_beta 90.00
_cell_angle_gamma 90.00
loop_
_symmetry_equiv_pos_as_xyz
'x,y,z'
'-x,-y,-z'
'-x,-y,z'
'x,y,-z'
'x,-y,-z'
'-x,y,z'
'-x,y,-z'
'x,-y,z'
loop_
_atom_site_label
_atom_site_fract_x
_atom_site_fract_y
_atom_site_fract_z
Re1 0.000 0.000 0.000
Mo1 0.000 0.000 0.500
Ru1 0.500 0.500 0.246
# DOS(E_F): 3.4 states/eV/cell
# E: -43.880 eV per atom